(1)
Pu2C3N6 | PBE | relaxed

a b c (Å): 7.528 7.528 5.325
angles (deg): 96.37 96.37 30.19
Fractional positions:
Pu 0.136 0.136 0.069
Pu 0.864 0.864 0.931
C 0.000 0.000 0.500
C 0.330 0.330 0.412
C 0.670 0.670 0.588
N 0.010 0.010 0.733
N 0.313 0.313 0.176
N 0.344 0.344 0.643
N 0.656 0.656 0.357
N 0.687 0.687 0.824
N 0.990 0.990 0.267

Properties
SG = No. 12

(2)
Pu2CN | PBE | relaxed

a b c (Å): 3.527 3.527 17.184
angles (deg): 90.00 90.00 120.00
Fractional positions:
Pu 0.000 0.000 0.249
Pu 0.000 0.000 0.751
Pu 0.333 0.667 0.418
Pu 0.333 0.667 0.915
Pu 0.667 0.333 0.085
Pu 0.667 0.333 0.582
C 0.000 0.000 0.000
C 0.333 0.667 0.667
C 0.667 0.333 0.333
N 0.000 0.000 0.500
N 0.333 0.667 0.167
N 0.667 0.333 0.833

Properties
SG = No. 166
E above lowest polymorph = 7 meV/atom

(3)
PuCN | PBE | relaxed

a b c (Å): 3.585 3.585 5.979
angles (deg): 90.00 90.00 90.00
Fractional positions:
Pu 0.000 0.000 0.000
Pu 0.500 0.500 0.500
C 0.000 0.000 0.606
C 0.500 0.500 0.106
N 0.000 0.000 0.388
N 0.500 0.500 0.888

Properties
SG = No. 107
E above lowest polymorph = 0 meV/atom

(4)
Pu6CN5 | PBE | relaxed

a b c (Å): 6.067 6.067 6.068
angles (deg): 99.59 99.59 119.99
Fractional positions:
Pu 0.080 0.416 0.749
Pu 0.248 0.248 0.252
Pu 0.416 0.080 0.749
Pu 0.584 0.920 0.251
Pu 0.752 0.752 0.748
Pu 0.920 0.584 0.251
C 0.500 0.500 0.000
N 0.000 0.000 0.500
N 0.167 0.833 0.000
N 0.334 0.666 0.500
N 0.666 0.334 0.500
N 0.833 0.167 0.000

Properties
SG = No. 12

(5)
PuCN3 | PBE | relaxed

a b c (Å): 3.878 4.997 6.013
angles (deg): 90.00 107.48 90.00
Fractional positions:
Pu 0.121 0.250 0.287
Pu 0.879 0.750 0.713
C 0.498 0.250 0.767
C 0.502 0.750 0.233
N 0.163 0.750 0.091
N 0.338 0.015 0.680
N 0.338 0.485 0.680
N 0.662 0.515 0.320
N 0.662 0.985 0.320
N 0.837 0.250 0.909

Properties
SG = No. 11

(6)
Pu2CN | PBE | relaxed

a b c (Å): 3.457 3.457 17.674
angles (deg): 90.00 90.00 120.00
Fractional positions:
Pu 0.000 0.000 0.000
Pu 0.000 0.000 0.165
Pu 0.333 0.667 0.667
Pu 0.333 0.667 0.831
Pu 0.667 0.333 0.333
Pu 0.667 0.333 0.498
C 0.000 0.000 0.577
C 0.333 0.667 0.244
C 0.667 0.333 0.910
N 0.000 0.000 0.753
N 0.333 0.667 0.420
N 0.667 0.333 0.086

Properties
SG = No. 160
E above lowest polymorph = 233 meV/atom

Number 1: raw formation energy -0.517 eV per atom. Number 2: raw formation energy -0.574 eV per atom. Number 3: raw formation energy -0.442 eV per atom. Number 4: raw formation energy -1.032 eV per atom. Number 5: raw formation energy -0.345 eV per atom. Number 6: raw formation energy -0.349 eV per atom.